## Tl2FeBr (PBE)

Data for a relaxed Tl2FeBr crystal.

Cell: 3.341 5.506 5.528 Å, 86.91 89.97 89.92°
Atoms (fractional coordinates):
Tl  0.000  0.000  0.000
Tl  0.000  0.500  0.500
Fe  0.500  0.000  0.500
Br  0.500  0.500  0.000

Calculated values
For the formation energy from raw total energies, the calculation gives 1.17 eV/f.u. The symmetry is P-1, No. 2. The value obtained for the energy above the lowest structure with this stoichiometry is 0.70 eV/f.u.

## TlFeBr3 (PBE)

Data for a relaxed TlFeBr3 crystal.

Cell: 5.233 5.233 5.233 Å, 90.00 90.00 90.00°
Atoms (fractional coordinates):
Tl  0.000  0.000  0.000
Fe  0.500  0.500  0.500
Br  0.000  0.500  0.500
Br  0.500  0.000  0.500
Br  0.500  0.500  0.000

Calculated values
For the formation energy from raw total energies, the calculation gives -2.49 eV/f.u. The symmetry is Pm-3m, No. 221. The value obtained for the energy above the lowest structure with this stoichiometry is 0.54 eV/f.u.

## TlFe2Br (PBE)

Data for a relaxed TlFe2Br crystal.

Cell: 6.406 6.406 6.406 Å, 151.26 137.05 52.50°
Atoms (fractional coordinates):
Tl  0.000  0.000  0.000
Fe  0.467  0.467  0.000
Fe  0.623  0.123  0.500
Br  0.275  0.775  0.500

Calculated values
For the formation energy from raw total energies, the calculation gives 1.83 eV/f.u. The symmetry is Imm2, No. 44. The value obtained for the energy above the lowest structure with this stoichiometry is 0.66 eV/f.u.

## TlFe2Br (PBE)

Data for a relaxed TlFe2Br crystal.

Cell: 3.177 3.177 7.219 Å, 90.00 90.00 90.00°
Atoms (fractional coordinates):
Tl  0.000  0.000  0.000
Fe  0.500  0.500  0.265
Fe  0.500  0.500  0.735
Br  0.000  0.000  0.500

Calculated values
For the formation energy from raw total energies, the calculation gives 2.82 eV/f.u. The symmetry is P4/mmm, No. 123. The value obtained for the energy above the lowest structure with this stoichiometry is 1.65 eV/f.u.

## Tl2FeBr (PBE)

Data for a relaxed Tl2FeBr crystal.

Cell: 6.646 6.646 6.646 Å, 141.81 141.81 55.12°
Atoms (fractional coordinates):
Tl  0.000  0.000  0.000
Tl  0.750  0.250  0.500
Fe  0.500  0.500  0.000
Br  0.250  0.750  0.500

Calculated values
For the formation energy from raw total energies, the calculation gives 1.63 eV/f.u. The symmetry is I-4m2, No. 119. The value obtained for the energy above the lowest structure with this stoichiometry is 1.16 eV/f.u.

## TlFeBr (PBE)

Data for a relaxed TlFeBr crystal.

Cell: 4.198 4.198 4.927 Å, 90.00 90.00 120.00°
Atoms (fractional coordinates):
Tl  0.000  0.000  0.000
Fe  0.333  0.667  0.500
Br  0.667  0.333  0.500

Calculated values
For the formation energy from raw total energies, the calculation gives 1.25 eV/f.u. The symmetry is P-6m2, No. 187. The value obtained for the energy above the lowest structure with this stoichiometry is 0.63 eV/f.u.

## Tl2FeBr6 (PBE)

Data for a relaxed Tl2FeBr6 crystal.

Cell: 7.294 7.294 7.335 Å, 118.04 118.04 58.85°
Atoms (fractional coordinates):
Tl  0.244  0.244  0.251
Tl  0.756  0.756  0.749
Fe  0.500  0.500  0.000
Br  0.236  0.714  0.209
Br  0.258  0.258  0.717
Br  0.286  0.764  0.791
Br  0.714  0.236  0.209
Br  0.742  0.742  0.283
Br  0.764  0.286  0.791

Calculated values
For the formation energy from raw total energies, the calculation gives -4.96 eV/f.u. The symmetry is C2/m, No. 12. The value obtained for the energy above the lowest structure with this stoichiometry is 0.00 eV/f.u.

## TlFe2Br (PBE)

Data for a relaxed TlFe2Br crystal.

Cell: 4.740 4.740 3.286 Å, 90.00 90.00 90.11°
Atoms (fractional coordinates):
Tl  0.000  0.000  0.000
Fe  0.000  0.500  0.500
Fe  0.500  0.000  0.500
Br  0.500  0.500  0.000

Calculated values
For the formation energy from raw total energies, the calculation gives 3.06 eV/f.u. The symmetry is Cmmm, No. 65. The value obtained for the energy above the lowest structure with this stoichiometry is 1.89 eV/f.u.

## TlFe2Br (PBE)

Data for a relaxed TlFe2Br crystal.

Cell: 6.000 6.000 6.000 Å, 143.01 143.01 53.31°
Atoms (fractional coordinates):
Tl  0.000  0.000  0.000
Fe  0.500  0.500  0.000
Fe  0.750  0.250  0.500
Br  0.250  0.750  0.500

Calculated values
For the formation energy from raw total energies, the calculation gives 3.16 eV/f.u. The symmetry is I-4m2, No. 119. The value obtained for the energy above the lowest structure with this stoichiometry is 2.00 eV/f.u.

## TlFeBr3 (PBE)

Data for a relaxed TlFeBr3 crystal.

Cell: 7.661 8.496 13.162 Å, 90.00 125.30 90.00°
Atoms (fractional coordinates):
Tl  0.210  0.110  0.254
Tl  0.210  0.390  0.754
Tl  0.790  0.610  0.246
Tl  0.790  0.890  0.746
Fe  0.496  0.102  0.065
Fe  0.496  0.398  0.565
Fe  0.504  0.602  0.435
Fe  0.504  0.898  0.935
Br  0.130  0.174  0.950
Br  0.130  0.326  0.450
Br  0.288  0.710  0.947
Br  0.288  0.790  0.447
Br  0.362  0.023  0.742
Br  0.362  0.477  0.242
Br  0.638  0.523  0.758
Br  0.638  0.977  0.258
Br  0.712  0.210  0.553
Br  0.712  0.290  0.053
Br  0.870  0.674  0.550
Br  0.870  0.826  0.050

Calculated values
For the formation energy from raw total energies, the calculation gives -2.97 eV/f.u. The symmetry is P2_1/c, No. 14. The value obtained for the energy above the lowest structure with this stoichiometry is 0.07 eV/f.u.

## TlFeBr3 (PBE)

Data for a relaxed TlFeBr3 crystal.

Cell: 7.984 7.984 5.746 Å, 93.52 93.52 72.50°
Atoms (fractional coordinates):
Tl  0.196  0.196  0.314
Tl  0.804  0.804  0.686
Fe  0.354  0.646  0.500
Fe  0.646  0.354  0.500
Br  0.088  0.661  0.267
Br  0.339  0.912  0.733
Br  0.395  0.395  0.745
Br  0.605  0.605  0.255
Br  0.661  0.088  0.267
Br  0.912  0.339  0.733

Calculated values
For the formation energy from raw total energies, the calculation gives -3.04 eV/f.u. The symmetry is C2/m, No. 12. The value obtained for the energy above the lowest structure with this stoichiometry is 0.00 eV/f.u.

## Tl2FeBr (PBE)

Data for a relaxed Tl2FeBr crystal.

Cell: 3.603 3.603 7.617 Å, 90.00 90.00 90.00°
Atoms (fractional coordinates):
Tl  0.000  0.000  0.207
Tl  0.000  0.000  0.793
Fe  0.500  0.500  0.000
Br  0.500  0.500  0.500

Calculated values
For the formation energy from raw total energies, the calculation gives 1.22 eV/f.u. The symmetry is P4/mmm, No. 123. The value obtained for the energy above the lowest structure with this stoichiometry is 0.75 eV/f.u.

## Tl2Fe3Br9 (PBE)

Data for a relaxed Tl2Fe3Br9 crystal.

Cell: 10.272 10.272 10.630 Å, 106.19 106.19 108.88°
Atoms (fractional coordinates):
Tl  0.107  0.772  0.704
Tl  0.228  0.893  0.296
Tl  0.772  0.107  0.704
Tl  0.893  0.228  0.296
Fe  0.200  0.446  0.804
Fe  0.354  0.354  0.169
Fe  0.446  0.200  0.804
Fe  0.554  0.800  0.196
Fe  0.646  0.646  0.831
Fe  0.800  0.554  0.196
Br  0.044  0.589  0.354
Br  0.129  0.344  0.977
Br  0.191  0.191  0.663
Br  0.230  0.230  0.291
Br  0.281  0.719  0.000
Br  0.344  0.129  0.977
Br  0.365  0.575  0.700
Br  0.411  0.956  0.646
Br  0.425  0.635  0.300
Br  0.575  0.365  0.700
Br  0.589  0.044  0.354
Br  0.635  0.425  0.300
Br  0.656  0.871  0.023
Br  0.719  0.281  0.000
Br  0.770  0.770  0.709
Br  0.809  0.809  0.337
Br  0.871  0.656  0.023
Br  0.956  0.411  0.646

Calculated values
For the formation energy from raw total energies, the calculation gives -7.09 eV/f.u. The symmetry is C2/m, No. 12.

## Tl4FeBr7 (PBE)

Data for a relaxed Tl4FeBr7 crystal.

Cell: 8.724 8.724 10.906 Å, 104.43 104.43 35.17°
Atoms (fractional coordinates):
Tl  0.017  0.017  0.210
Tl  0.246  0.246  0.812
Tl  0.754  0.754  0.188
Tl  0.983  0.983  0.790
Fe  0.500  0.500  0.500
Br  0.000  0.000  0.500
Br  0.152  0.152  0.039
Br  0.385  0.385  0.617
Br  0.393  0.393  0.286
Br  0.607  0.607  0.714
Br  0.615  0.615  0.383
Br  0.848  0.848  0.961

Calculated values
For the formation energy from raw total energies, the calculation gives -8.21 eV/f.u. The symmetry is C2/m, No. 12.

## TlFeBr (PBE)

Data for a relaxed TlFeBr crystal.

Cell: 3.554 3.554 6.708 Å, 90.00 90.00 120.00°
Atoms (fractional coordinates):
Tl  0.000  0.000  0.000
Fe  0.333  0.667  0.703
Br  0.667  0.333  0.483

Calculated values
For the formation energy from raw total energies, the calculation gives 0.62 eV/f.u. The symmetry is P3m1, No. 156. The value obtained for the energy above the lowest structure with this stoichiometry is 0.00 eV/f.u.

## TlFe4Br (PBE)

Data for a relaxed TlFe4Br crystal.

Cell: 5.206 5.206 5.206 Å, 60.00 60.00 60.00°
Atoms (fractional coordinates):
Tl  0.000  0.000  0.000
Fe  0.373  0.373  0.373
Fe  0.373  0.373  0.880
Fe  0.373  0.880  0.373
Fe  0.880  0.373  0.373
Br  0.750  0.750  0.750

Calculated values
For the formation energy from raw total energies, the calculation gives 3.39 eV/f.u. The symmetry is F-43m, No. 216.

## Tl3FeBr6 (PBE)

Data for a relaxed Tl3FeBr6 crystal.

Cell: 10.290 10.290 7.981 Å, 90.00 90.00 104.10°
Atoms (fractional coordinates):
Tl  0.094  0.906  0.500
Tl  0.211  0.397  0.449
Tl  0.397  0.211  0.949
Tl  0.603  0.789  0.449
Tl  0.789  0.603  0.949
Tl  0.906  0.094  0.000
Fe  0.308  0.692  0.877
Fe  0.692  0.308  0.377
Br  0.094  0.604  0.757
Br  0.143  0.179  0.722
Br  0.179  0.143  0.222
Br  0.296  0.704  0.169
Br  0.396  0.906  0.757
Br  0.448  0.552  0.788
Br  0.552  0.448  0.288
Br  0.604  0.094  0.257
Br  0.704  0.296  0.669
Br  0.821  0.857  0.722
Br  0.857  0.821  0.222
Br  0.906  0.396  0.257

Calculated values
For the formation energy from raw total energies, the calculation gives -7.23 eV/f.u. The symmetry is Cmc2_1, No. 36. The value obtained for the energy above the lowest structure with this stoichiometry is 0.00 eV/f.u.

## Tl3FeBr6 (PBE)

Data for a relaxed Tl3FeBr6 crystal.

Cell: 9.065 9.065 9.065 Å, 89.79 89.79 89.79°
Atoms (fractional coordinates):
Tl  0.067  0.584  0.738
Tl  0.262  0.933  0.416
Tl  0.416  0.262  0.933
Tl  0.584  0.738  0.067
Tl  0.738  0.067  0.584
Tl  0.933  0.416  0.262
Fe  0.000  0.000  0.000
Fe  0.500  0.500  0.500
Br  0.049  0.943  0.725
Br  0.057  0.275  0.951
Br  0.238  0.570  0.409
Br  0.275  0.951  0.057
Br  0.409  0.238  0.570
Br  0.430  0.591  0.762
Br  0.570  0.409  0.238
Br  0.591  0.762  0.430
Br  0.725  0.049  0.943
Br  0.762  0.430  0.591
Br  0.943  0.725  0.049
Br  0.951  0.057  0.275

Calculated values
For the formation energy from raw total energies, the calculation gives -6.82 eV/f.u. The symmetry is R-3, No. 148. The value obtained for the energy above the lowest structure with this stoichiometry is 0.42 eV/f.u.

## Tl6Fe3Br14 (PBE)

Data for a relaxed Tl6Fe3Br14 crystal.

Cell: 11.934 11.934 6.671 Å, 90.00 90.00 120.00°
Atoms (fractional coordinates):
Tl  0.024  0.457  0.000
Tl  0.313  0.206  0.496
Tl  0.434  0.976  0.000
Tl  0.543  0.566  0.000
Tl  0.794  0.107  0.496
Tl  0.893  0.687  0.496
Fe  0.000  0.000  0.081
Fe  0.333  0.667  0.573
Fe  0.667  0.333  0.223
Br  0.000  0.000  0.727
Br  0.078  0.214  0.208
Br  0.136  0.922  0.208
Br  0.192  0.738  0.697
Br  0.262  0.454  0.697
Br  0.333  0.667  0.217
Br  0.458  0.261  0.009
Br  0.533  0.125  0.444
Br  0.546  0.808  0.697
Br  0.592  0.467  0.444
Br  0.739  0.197  0.009
Br  0.786  0.864  0.208
Br  0.803  0.542  0.009
Br  0.875  0.408  0.444

Calculated values
For the formation energy from raw total energies, the calculation gives -15.97 eV/f.u. The symmetry is P3, No. 143.

## TlFeBr3 (PBE)

Data for a relaxed TlFeBr3 crystal.

Cell: 9.456 3.962 15.390 Å, 90.00 90.00 90.00°
Atoms (fractional coordinates):
Tl  0.047  0.250  0.172
Tl  0.453  0.750  0.672
Tl  0.547  0.250  0.328
Tl  0.953  0.750  0.828
Fe  0.154  0.750  0.448
Fe  0.346  0.250  0.948
Fe  0.654  0.750  0.052
Fe  0.846  0.250  0.552
Br  0.023  0.750  0.598
Br  0.181  0.750  0.003
Br  0.233  0.250  0.798
Br  0.267  0.750  0.298
Br  0.319  0.250  0.503
Br  0.477  0.250  0.098
Br  0.523  0.750  0.902
Br  0.681  0.750  0.497
Br  0.733  0.250  0.702
Br  0.767  0.750  0.202
Br  0.819  0.250  0.997
Br  0.977  0.250  0.402

Calculated values
For the formation energy from raw total energies, the calculation gives -2.83 eV/f.u. The symmetry is Pnma, No. 62. The value obtained for the energy above the lowest structure with this stoichiometry is 0.20 eV/f.u.